1.
VASP calculation (PBE) on crystalline GaTcSn2 at its relaxed geometry.

As for the crystal system: tetragonal. The uncorrected energy comes out at -4.610 eV per atom. The calculation puts the density of states at the Fermi level at 13.958 states/eV/cell. The total magnetic moment is 0.93 μB/f.u. Its formation energy is 740 meV/atom. The density is 5.74 g cm⁻³.

The structure belongs to space group I-42d (No. 122); the cell edges are 6.497, 6.497 and 11.116 Å and the angles 90.00°, 90.00° and 90.00°. Symmetry generates all atoms from Ga at (0.000, 0.000, 0.000), Tc at (0.000, 0.000, 0.500) and Sn at (0.231, 0.250, 0.625).


2.
VASP calculation (PBE) on crystalline Co3P at its relaxed geometry.

As for the crystal system: hexagonal. The relative energy among the computed polymorphs comes out at 186.6 meV per atom. The uncorrected energy comes out at -6.839 eV per atom. The calculation puts the density of states at the Fermi level at 9.723 states/eV/cell. The total magnetic moment is 0.00 μB/f.u. Its formation energy is -157 meV/atom. The density is 8.41 g cm⁻³.

The structure belongs to space group P6_3/mmc (No. 194); the cell edges are 4.9445, 4.9445 and 3.8772 Å and the angles 90.00°, 90.00° and 120.00°. Symmetry generates all atoms from Co at (0.1682, 0.3364, 0.2500) and P at (0.3333, 0.6667, 0.7500).


3.
VASP calculation (PBE) on crystalline Ba2ZrP at its relaxed geometry.

As for the crystal system: trigonal. The uncorrected energy comes out at -4.302 eV per atom. The calculation puts the density of states at the Fermi level at 7.490 states/eV/cell. The total magnetic moment is 3.12 μB/f.u. Its formation energy is 148 meV/atom. The density is 4.13 g cm⁻³.

The structure belongs to space group R-3m (No. 166, hexagonal axes); the cell edges are 4.2558, 4.2558 and 30.5141 Å and the angles 90.00°, 90.00° and 120.00°. Symmetry generates all atoms from Ba at (0.0000, 0.0000, 0.2275), Zr at (0.0000, 0.0000, 0.0000) and P at (0.0000, 0.0000, 0.5000).


4.
VASP calculation (PBE) on crystalline Ac5PrSm2Y at its relaxed geometry.

As for the crystal system: orthorhombic. The uncorrected energy comes out at -4.434 eV per atom. The calculation puts the density of states at the Fermi level at 59.302 states/eV/cell. The total magnetic moment is 0.00 μB/f.u. Its formation energy is 147 meV/atom. The density is 7.50 g cm⁻³.

The structure belongs to space group Cmc2_1 (No. 36); the cell edges are 5.977, 21.868 and 11.280 Å and the angles 90.00°, 90.00° and 90.00°. Symmetry generates all atoms from Ac at (0.000, 0.011, 0.000), Ac at (0.000, 0.277, 0.310), Ac at (0.000, 0.298, 0.694), Ac at (0.000, 0.374, 0.007), Ac at (0.000, 0.488, 0.736), Pr at (0.000, 0.406, 0.457), Sm at (0.000, 0.114, 0.287), Sm at (0.000, 0.116, 0.733) and Y at (0.000, 0.191, 0.002).


5.
VASP calculation (PBE) on crystalline CsMn2PbCl8 at its relaxed geometry.

As for the crystal system: trigonal. The uncorrected energy comes out at -4.340 eV per atom. The calculation puts the density of states at the Fermi level at 10.865 states/eV/cell. The calculation puts the formation energy (no corrections) at -1.201 eV/atom. The total magnetic moment is 9.00 μB/f.u. The density is 3.05 g cm⁻³.

The structure belongs to space group P-3 (No. 147); the cell edges are 6.8018, 6.8018 and 9.9826 Å and the angles 90.00°, 90.00° and 120.00°. Symmetry generates all atoms from Cs at (0.0000, 0.0000, 0.0000), Mn at (0.3333, 0.6667, 0.7447), Pb at (0.0000, 0.0000, 0.5000), Cl at (0.0108, 0.3369, 0.6806) and Cl at (0.3333, 0.6667, 0.9679).


6.
VASP calculation (PBE) on crystalline La3Dy7Ho2 at its relaxed geometry.

As for the crystal system: triclinic. The uncorrected energy comes out at -4.587 eV per atom. The calculation puts the density of states at the Fermi level at 17.473 states/eV/cell. The total magnetic moment is 0.00 μB/f.u. Its formation energy is 93 meV/atom. The density is 7.82 g cm⁻³.

The structure belongs to space group P-1 (No. 2); the cell edges are 3.608, 5.754 and 19.396 Å and the angles 86.90°, 84.69° and 90.00°. Symmetry generates all atoms from La at (0.000, 0.000, 0.000), La at (0.322, 0.274, 0.357), Dy at (0.086, 0.696, 0.827), Dy at (0.229, 0.243, 0.542), Dy at (0.430, 0.809, 0.142), Dy at (0.500, 0.500, 0.000) and Ho at (0.142, 0.215, 0.714).


7.
VASP calculation (PBE) on crystalline CaTcBr2 at its relaxed geometry.

As for the crystal system: tetragonal. The relative energy among the computed polymorphs comes out at 48.4 meV per atom. The uncorrected energy comes out at -4.243 eV per atom. The calculation puts the density of states at the Fermi level at 1.533 states/eV/cell. The calculation puts the formation energy (no corrections) at -0.315 eV/atom. The total magnetic moment is 0.00 μB/f.u. The density is 4.90 g cm⁻³.

The structure belongs to space group P4mm (No. 99); the cell edges are 3.376, 3.376 and 8.853 Å and the angles 90.00°, 90.00° and 90.00°. Symmetry generates all atoms from Ca at (0.000, 0.000, 0.000), Tc at (0.500, 0.500, 0.267), Br at (0.000, 0.000, 0.384) and Br at (0.500, 0.500, 0.805).


8.
VASP calculation (PBE) on crystalline TmSBr at its relaxed geometry.

As for the crystal system: trigonal. The uncorrected energy comes out at -5.362 eV per atom. The calculation puts the density of states at the Fermi level at 0.000 states/eV/cell. The calculation puts the formation energy (no corrections) at -1.938 eV/atom. The total magnetic moment is 0.00 μB/f.u. The density is 4.98 g cm⁻³.

The structure belongs to space group P3m1 (No. 156); the cell edges are 4.0042, 4.0042 and 6.7403 Å and the angles 90.00°, 90.00° and 120.00°. Symmetry generates all atoms from Tm at (0.0000, 0.0000, 0.0000), S at (0.6667, 0.3333, 0.1787) and Br at (0.3333, 0.6667, 0.7309).


9.
VASP calculation (PBE) on crystalline Cr2WCl at its relaxed geometry.

As for the crystal system: tetragonal. The relative energy among the computed polymorphs comes out at 748.3 meV per atom. The uncorrected energy comes out at -7.531 eV per atom. The calculation puts the density of states at the Fermi level at 8.565 states/eV/cell. The calculation puts the formation energy (no corrections) at 0.981 eV/atom. The total magnetic moment is 1.33 μB/f.u. The density is 9.08 g cm⁻³.

The structure belongs to space group I-4m2 (No. 119); the cell edges are 3.552, 3.552 and 9.372 Å and the angles 90.00°, 90.00° and 90.00°. Symmetry generates all atoms from Cr at (0.000, 0.000, 0.000), Cr at (0.000, 0.500, 0.250), W at (0.000, 0.500, 0.750) and Cl at (0.000, 0.000, 0.500).


10.
VASP calculation (PBE) on crystalline KMgCu at its relaxed geometry.

As for the crystal system: trigonal. The relative energy among the computed polymorphs comes out at 66.4 meV per atom. The uncorrected energy comes out at -1.974 eV per atom. The calculation puts the density of states at the Fermi level at 1.230 states/eV/cell. The total magnetic moment is 0.00 μB/f.u. Its formation energy is 288 meV/atom. The density is 2.25 g cm⁻³.

The structure belongs to space group P3m1 (No. 156); the cell edges are 4.6146, 4.6146 and 5.0786 Å and the angles 90.00°, 90.00° and 120.00°. Symmetry generates all atoms from K at (0.0000, 0.0000, 0.0000), Mg at (0.6667, 0.3333, 0.4998) and Cu at (0.3333, 0.6667, 0.4981).


11.
VASP calculation (PBE) on crystalline GaCuSb2Te at its relaxed geometry.

As for the crystal system: tetragonal. The relative energy among the computed polymorphs comes out at 448.3 meV per atom. The uncorrected energy comes out at -2.855 eV per atom. The calculation puts the density of states at the Fermi level at 3.737 states/eV/cell. The calculation puts the formation energy (no corrections) at 0.847 eV/atom. The total magnetic moment is 0.00 μB/f.u. The density is 5.59 g cm⁻³.

The structure belongs to space group P4/mmm (No. 123); the cell edges are 5.282, 5.282 and 5.370 Å and the angles 90.00°, 90.00° and 90.00°. Symmetry generates all atoms from Ga at (0.000, 0.000, 0.000), Cu at (0.500, 0.500, 0.500), Sb at (0.000, 0.500, 0.000) and Te at (0.000, 0.000, 0.500).


12.
VASP calculation (PBE) on crystalline La6Pm2SmHo at its relaxed geometry.

As for the crystal system: monoclinic. The uncorrected energy comes out at -4.655 eV per atom. The calculation puts the density of states at the Fermi level at 34.581 states/eV/cell. The total magnetic moment is 0.00 μB/f.u. Its formation energy is 181 meV/atom. The density is 6.68 g cm⁻³.

The structure belongs to space group C2/m (No. 12); the cell edges are 11.545, 7.000 and 9.294 Å and the angles 90.00°, 107.69° and 90.00°. Symmetry generates all atoms from La at (0.128, 0.000, 0.422), La at (0.198, 0.267, 0.805), Pm at (0.073, 0.500, 0.170), Sm at (0.000, 0.500, 0.500) and Ho at (0.000, 0.000, 0.000).


13.
VASP calculation (PBE) on crystalline BaSr2Ag2 at its relaxed geometry.

As for the crystal system: tetragonal. The relative energy among the computed polymorphs comes out at 0.0 meV per atom. The uncorrected energy comes out at -2.431 eV per atom. The calculation puts the density of states at the Fermi level at 3.289 states/eV/cell. The total magnetic moment is 0.00 μB/f.u. Its formation energy is -233 meV/atom. The density is 4.79 g cm⁻³.

The structure belongs to space group P4/mbm (No. 127); the cell edges are 8.769, 8.769 and 4.767 Å and the angles 90.00°, 90.00° and 90.00°. Symmetry generates all atoms from Ba at (0.000, 0.000, 0.000), Sr at (0.165, 0.335, 0.500) and Ag at (0.119, 0.619, 0.000).